{"formula": "BaMgAg2", "functional": "PBE-GGA", "state": "relaxed", "formation_enthalpy_0k_ev_per_atom": -0.02, "magmom_total_mub_per_cell": 0.0, "spacegroup": "No. 65", "lattice": [[3.789, -3.794, 0.000], [3.789, 3.794, 0.000], [0.000, 0.000, 3.866]], "species": ["Ba", "Mg", "Ag", "Ag"], "frac_coords": [[0.000, 0.000, 0.000], [0.500, 0.500, 0.000], [0.000, 0.500, 0.500], [0.500, 0.000, 0.500]]}